# 1
Computed, not measured: crystalline KTeC2S at its relaxed geometry at the PBE level of DFT.

Output
The calculation puts the total magnetic moment at 2.56 μB per formula unit. The total energy comes out at -3.676 eV per atom. Its space group is P4/mmm, No. 123.

Unit cell a=4.438 b=5.360 c=4.438 alpha=90.00 beta=90.00 gamma=90.00
Last column: magnetic moment on the atom in μB.
Fractional positions:
K 0.500 0.500 0.500  0.01
S 0.000 0.500 0.000  0.19
Te 0.000 0.000 0.000  -0.03
C 0.500 0.000 0.000  0.62
C 0.000 0.000 0.500  0.50


# 2
Computed, not measured: crystalline KTe2CS at its relaxed geometry at the PBE level of DFT.

Output
The calculation puts the total magnetic moment at 0.00 μB per formula unit. The total energy comes out at -3.428 eV per atom. Its space group is P4/mmm, No. 123.

Unit cell a=6.845 b=3.284 c=6.845 alpha=90.00 beta=90.00 gamma=90.00
Fractional positions:
C 0.000 0.500 0.000
Te 0.500 0.000 0.000
Te 0.000 0.000 0.500
S 0.000 0.000 0.000
K 0.500 0.500 0.500


# 3
Computed, not measured: crystalline KZn2CS at its relaxed geometry at the PBE level of DFT.

Output
The calculation puts the total magnetic moment at 2.66 μB per formula unit. The total energy comes out at -2.285 eV per atom. Its space group is P4/mmm, No. 123.

Unit cell a=4.830 b=6.251 c=4.830 alpha=90.00 beta=90.00 gamma=90.00
Last column: magnetic moment on the atom in μB.
Fractional positions:
C 0.500 0.500 0.500  1.10
K 0.000 0.500 0.000  0.02
S 0.000 0.000 0.000  0.02
Zn 0.000 0.000 0.500  0.01
Zn 0.500 0.000 0.000  -0.01


# 4
Computed, not measured: crystalline KSb2C at its relaxed geometry at the PBE level of DFT.

Output
The calculation puts the total magnetic moment at 0.00 μB per formula unit. The total energy comes out at -3.984 eV per atom. Its space group is I-42d, No. 122.

Unit cell a=7.422 b=7.422 c=6.532 alpha=55.38 beta=55.38 gamma=90.00
Fractional positions:
K 0.000 0.000 0.000
K 0.750 0.250 0.500
C 0.500 0.500 0.000
C 0.250 0.750 0.500
Sb 0.503 0.125 0.250
Sb 0.875 0.753 0.750
Sb 0.247 0.625 0.250
Sb 0.375 0.497 0.750


# 5
Computed, not measured: crystalline K2SbC at its relaxed geometry at the PBE level of DFT.

Output
The calculation puts the total magnetic moment at 1.00 μB per formula unit. As for the energy above the most stable polymorph in this dataset: 621.0 meV per atom. The total energy comes out at -2.619 eV per atom. Its space group is Fm-3m, No. 225.

Unit cell a=5.685 b=5.685 c=5.685 alpha=60.00 beta=60.00 gamma=60.00
Last column: magnetic moment on the atom in μB.
Fractional positions:
Sb 0.500 0.500 0.500  -0.40
K 0.250 0.250 0.250  -0.01
K 0.750 0.750 0.750  -0.01
C 0.000 0.000 0.000  0.95


# 6
Computed, not measured: crystalline KSbC3 at its relaxed geometry at the PBE level of DFT.

Output
The calculation puts the total magnetic moment at 3.86 μB per formula unit. As for the energy above the most stable polymorph in this dataset: 1491.5 meV per atom. The total energy comes out at -2.574 eV per atom. Its space group is Pm-3m, No. 221.

Unit cell a=4.671 b=4.671 c=4.671 alpha=90.00 beta=90.00 gamma=90.00
Last column: magnetic moment on the atom in μB.
Fractional positions:
C 0.500 0.000 0.000  0.82
C 0.000 0.000 0.500  0.56
C 0.000 0.500 0.000  0.78
Sb 0.500 0.500 0.500  -0.24
K 0.000 0.000 0.000  0.18


# 7
Computed, not measured: crystalline K2SbC at its relaxed geometry at the PBE level of DFT.

Output
The calculation puts the total magnetic moment at 0.00 μB per formula unit. As for the energy above the most stable polymorph in this dataset: 0.0 meV per atom. The total energy comes out at -3.240 eV per atom. Its space group is I-42d, No. 122.

Unit cell a=12.150 b=12.150 c=8.878 alpha=46.82 beta=46.82 gamma=90.00
Fractional positions:
Sb 0.750 0.250 0.500
Sb 0.000 0.000 0.000
K 0.351 0.625 0.250
K 0.375 0.601 0.750
K 0.875 0.649 0.750
K 0.399 0.125 0.250
C 0.250 0.750 0.500
C 0.500 0.500 0.000


# 8
Computed, not measured: crystalline KSbC3 at its relaxed geometry at the PBE level of DFT.

Output
The calculation puts the total magnetic moment at 0.00 μB per formula unit. As for the energy above the most stable polymorph in this dataset: 0.0 meV per atom. The total energy comes out at -4.065 eV per atom. Its space group is Pm-3m, No. 221.

Unit cell a=4.412 b=4.412 c=4.412 alpha=90.00 beta=90.00 gamma=90.00
Fractional positions:
C 0.000 0.000 0.500
C 0.000 0.500 0.000
C 0.500 0.000 0.000
Sb 0.000 0.000 0.000
K 0.500 0.500 0.500


Number 7 is which compound?
K2SbC


Repeat the eighth record exactly.
Computed, not measured: crystalline KSbC3 at its relaxed geometry at the PBE level of DFT.

Output
The calculation puts the total magnetic moment at 0.00 μB per formula unit. As for the energy above the most stable polymorph in this dataset: 0.0 meV per atom. The total energy comes out at -4.065 eV per atom. Its space group is Pm-3m, No. 221.

Unit cell a=4.412 b=4.412 c=4.412 alpha=90.00 beta=90.00 gamma=90.00
Fractional positions:
C 0.000 0.000 0.500
C 0.000 0.500 0.000
C 0.500 0.000 0.000
Sb 0.000 0.000 0.000
K 0.500 0.500 0.500


Please write out number 4 again, unchanged.
Computed, not measured: crystalline KSb2C at its relaxed geometry at the PBE level of DFT.

Output
The calculation puts the total magnetic moment at 0.00 μB per formula unit. The total energy comes out at -3.984 eV per atom. Its space group is I-42d, No. 122.

Unit cell a=7.422 b=7.422 c=6.532 alpha=55.38 beta=55.38 gamma=90.00
Fractional positions:
K 0.000 0.000 0.000
K 0.750 0.250 0.500
C 0.500 0.500 0.000
C 0.250 0.750 0.500
Sb 0.503 0.125 0.250
Sb 0.875 0.753 0.750
Sb 0.247 0.625 0.250
Sb 0.375 0.497 0.750